(1)
Hf3TaCo PBE relaxed; V = 105.7 Å³ per cell; crystal system = cubic; total DFT energy (no corrections) = -46.648 eV for the cell shown; N(E_F) = 1.484 states/eV per atom; space-group type = No. 221
1.0
4.728 0.000 0.000
0.000 4.728 0.000
0.000 0.000 4.728
Hf Ta Co
3 1 1
Cartesian
0.000 0.000 2.364 Hf
0.000 2.364 0.000 Hf
2.364 0.000 0.000 Hf
2.364 2.364 2.364 Ta
0.000 0.000 0.000 Co

(2)
HfTaCo PBE relaxed; V = 49.9 Å³ per cell; crystal system = tetragonal; total DFT energy (no corrections) = -29.463 eV for the cell shown; N(E_F) = 0.662 states/eV per atom; space-group type = No. 107
1.0
-1.562 1.562 5.113
1.562 -1.562 5.113
1.562 1.562 -5.113
Hf Ta Co
1 1 1
Cartesian
0.000 0.000 0.000 Hf
0.000 0.000 3.122 Ta
0.000 0.000 6.792 Co

(3)
HfTaCo PBE relaxed; V = 99.7 Å³ per cell; crystal system = orthorhombic; total DFT energy (no corrections) = -58.962 eV for the cell shown; N(E_F) = 0.542 states/eV per atom; space-group type = No. 63
1.0
2.212 -5.072 0.000
2.212 5.072 0.000
0.000 0.000 4.441
Hf Ta Co
2 2 2
Cartesian
2.212 4.042 3.331 Hf
2.212 -4.042 1.110 Hf
2.212 0.934 3.331 Ta
2.212 -0.934 1.110 Ta
2.212 2.613 1.110 Co
2.212 -2.613 3.331 Co

Per-record energy of formation, meV per atom: 434 -184 -190